Entry 1:
Entry from the Alexandria database: an optimized crystal structure of PrYIn (PBE).

Uncorrected energy = -4.91 eV per atom
Distance to the lowest polymorph of the same formula = 0.114 eV/atom
Energy of formation = -0.2506 eV/atom

abc: 3.7651 5.3129 5.3129
angles: 120.00 90.00 90.00
Last column: nearest neighbours and their distance in Å.
Element x y z (fractional)
Pr 0.3612 0.3333 0.6667  3 In 3.36, 6 Y 3.50-3.71
Y 0.9144 0.0000 0.0000  3 In 3.15, 3 Pr 3.50
In 0.7244 0.6667 0.3333  3 Y 3.15, 3 Pr 3.36

---

Entry 2:
Entry from the Alexandria database: an optimized crystal structure of LaThGa (PBE).

Uncorrected energy = -5.27 eV per atom
Distance to the lowest polymorph of the same formula = 0.108 eV/atom
Energy of formation = -0.1428 eV/atom

abc: 3.9635 4.9653 4.9653
angles: 120.00 90.00 90.00
Last column: nearest neighbours and their distance in Å.
Element x y z (fractional)
Ga 0.3166 0.3333 0.6667  3 Th 3.06, 3 La 3.14
Th 0.0445 0.0000 0.0000  3 Ga 3.06, 3 La 3.29
La 0.6389 0.6667 0.3333  3 Ga 3.14, 3 Th 3.29

---

Entry 3:
Entry from the Alexandria database: an optimized crystal structure of DyCdCl5 (PBE).

Uncorrected energy = -3.83 eV per atom
Distance to the lowest polymorph of the same formula = 0.000 eV/atom
Formation energy without anion corrections = -1718 meV per atom

abc: 7.4400 7.6779 9.6734
angles: 80.18 69.39 61.02
Last column: nearest neighbours and their distance in Å.
Element x y z (fractional)
Dy 0.0000 0.0000 0.0000  6 Cl 2.66-2.67
Dy 0.0000 0.0000 0.5000  6 Cl 2.66-2.67
Cd 0.5411 0.9178 0.7500  4 Cl 2.52-2.57
Cd 0.4589 0.0822 0.2500  4 Cl 2.52-2.57
Cl 0.3562 0.6994 0.8441  1 Cd 2.52, 1 Dy 2.66
Cl 0.5747 0.1741 0.5467  1 Cd 2.57, 1 Dy 2.67
Cl 0.0556 0.3006 0.3441  1 Cd 2.52, 1 Dy 2.66
Cl 0.9157 0.1686 0.7500  2 Dy 2.67
Cl 0.2512 0.1741 0.9533  1 Cd 2.57, 1 Dy 2.67
Cl 0.7488 0.8259 0.0467  1 Cd 2.57, 1 Dy 2.67
Cl 0.0843 0.8314 0.2500  2 Dy 2.67
Cl 0.9444 0.6994 0.6559  1 Cd 2.52, 1 Dy 2.66
Cl 0.4253 0.8259 0.4533  1 Cd 2.57, 1 Dy 2.67
Cl 0.6438 0.3006 0.1559  1 Cd 2.52, 1 Dy 2.66

---

Entry 4:
Entry from the Alexandria database: an optimized crystal structure of Ti2Pt5 (PBE).

Uncorrected energy = -7.22 eV per atom
Energy of formation = -0.6494 eV/atom

abc: 3.9337 3.8582 15.2586
angles: 90.00 97.41 90.00
Last column: nearest neighbours and their distance in Å.
Element x y z (fractional)
Ti 0.1028 0.2500 0.2056  5 Pt 2.47-2.76
Ti 0.8972 0.7500 0.7944  5 Pt 2.47-2.76
Ti 0.3203 0.2500 0.6406  1 Pt 2.43
Ti 0.6797 0.7500 0.3594  1 Pt 2.43
Pt 0.9637 0.2500 0.9274  10 Pt 2.74-2.92, 2 Ti 2.79
Pt 0.0363 0.7500 0.0726  10 Pt 2.74-2.92, 2 Ti 2.79
Pt 0.5342 0.2500 0.0685  10 Pt 2.76-2.90, 2 Ti 2.86
Pt 0.4658 0.7500 0.9315  10 Pt 2.76-2.90, 2 Ti 2.86
Pt 0.7492 0.2500 0.4984  8 Pt 2.76-2.78, 4 Ti 2.85-2.92
Pt 0.2508 0.7500 0.5016  8 Pt 2.76-2.78, 4 Ti 2.85-2.92
Pt 0.1846 0.2500 0.3691  5 Ti 2.47-2.76
Pt 0.8154 0.7500 0.6309  5 Ti 2.47-2.76
Pt 0.4006 0.2500 0.8012  1 Ti 2.43
Pt 0.5994 0.7500 0.1988  1 Ti 2.43

---

Entry 5:
Entry from the Alexandria database: an optimized crystal structure of Cs2BN2 (PBE).

Uncorrected energy = -2.67 eV per atom
Formation energy without anion corrections = 2334 meV per atom

abc: 3.3249 3.3249 10.2481
angles: 80.66 80.66 90.00
Last column: nearest neighbours and their distance in Å.
Element x y z (fractional)
Cs 0.3720 0.3720 0.2559  4 N 2.95
Cs 0.6280 0.6280 0.7441  4 N 2.95
B 0.0000 0.0000 0.0000  4 B 3.32, 8 Cs 3.47
N 0.7500 0.2500 0.5000  4 N 2.35
N 0.2500 0.7500 0.5000  4 N 2.35

---

Entry 6:
Entry from the Alexandria database: an optimized crystal structure of Rb2HfGeTe (PBE).

Uncorrected energy = -3.28 eV per atom
Formation energy without anion corrections = 650 meV per atom

abc: 7.2357 7.2357 4.9939
angles: 90.00 90.00 90.00
Last column: nearest neighbours and their distance in Å.
Element x y z (fractional)
Ge 0.0000 0.0000 0.5000  2 Hf 2.50
Te 0.5000 0.5000 0.5000  8 Rb 4.40
Hf 0.0000 0.0000 0.0000  2 Ge 2.50
Rb 0.0000 0.5000 0.0000  2 Hf 3.62
Rb 0.5000 0.0000 0.0000  2 Hf 3.62

---

Entry 7:
Entry from the Alexandria database: an optimized crystal structure of Nb3BC (PBE).

Uncorrected energy = -9.51 eV per atom
Distance to the lowest polymorph of the same formula = 0.000 eV/atom
Energy of formation = -0.2851 eV/atom

abc: 3.3177 5.4800 7.3630
angles: 90.00 90.00 90.00
Last column: nearest neighbours and their distance in Å.
Element x y z (fractional)
Nb 0.7500 0.7500 0.0581  2 B 2.30, 1 C 2.53
Nb 0.2500 0.2500 0.9419  2 B 2.30, 1 C 2.53
Nb 0.7500 0.9931 0.6651  3 C 2.23-2.35, 2 B 2.49
Nb 0.7500 0.5069 0.6651  3 C 2.23-2.35, 2 B 2.49
Nb 0.2500 0.0069 0.3349  3 C 2.23-2.35, 2 B 2.49
Nb 0.2500 0.4931 0.3349  3 C 2.23-2.35, 2 B 2.49
B 0.7500 0.2500 0.1590  6 Nb 2.30-2.49
B 0.2500 0.7500 0.8410  6 Nb 2.30-2.49
C 0.7500 0.7500 0.4022  6 Nb 2.23-2.35
C 0.2500 0.2500 0.5978  6 Nb 2.23-2.35

---

Entry 8:
Entry from the Alexandria database: an optimized crystal structure of La2ZnInH (PBE).

Uncorrected energy = -3.83 eV per atom
Distance to the lowest polymorph of the same formula = 0.000 eV/atom

abc: 5.0960 4.4118 5.0960
angles: 90.00 90.00 90.00
Last column: nearest neighbours and their distance in Å.
Element x y z (fractional)
H 0.0000 0.0000 0.0000  2 Zn 2.21
Zn 0.0000 0.5000 0.0000  2 H 2.21
In 0.5000 0.5000 0.5000  8 La 3.37, 4 Zn 3.60
La 0.0000 0.0000 0.5000  2 H 2.55
La 0.5000 0.0000 0.0000  2 H 2.55

---

Entry 9:
Entry from the Alexandria database: an optimized crystal structure of AcEr2InHg4 (PBE).

Uncorrected energy = -2.54 eV per atom
Energy of formation = -0.3914 eV/atom

abc: 5.0687 5.0687 10.3323
angles: 75.80 75.80 60.00
Last column: nearest neighbours and their distance in Å.
Element x y z (fractional)
Ac 0.0000 0.0000 0.0000  8 Hg 3.39-3.65
Er 0.7684 0.7684 0.6947  7 Hg 2.99-3.23
Er 0.2316 0.2316 0.3053  7 Hg 2.99-3.23
In 0.5000 0.5000 0.5000  8 Hg 3.20-3.24, 6 Er 3.50
Hg 0.3912 0.3912 0.8265  3 Er 3.20, 1 In 3.24, 3 Ac 3.39, 3 Hg 3.51
Hg 0.8771 0.8771 0.3688  4 Er 2.99-3.23, 3 In 3.20
Hg 0.1229 0.1229 0.6312  4 Er 2.99-3.23, 3 In 3.20
Hg 0.6088 0.6088 0.1735  3 Er 3.20, 1 In 3.24, 3 Ac 3.39, 3 Hg 3.51

---

Entry 10:
Entry from the Alexandria database: an optimized crystal structure of Pu2ScCl6 (PBE).

Uncorrected energy = -6.91 eV per atom
Formation energy without anion corrections = -1789 meV per atom

abc: 3.8194 7.6504 10.3080
angles: 66.52 79.32 75.55
Last column: nearest neighbours and their distance in Å.
Element x y z (fractional)
Pu 0.3333 0.4969 0.8365  6 Cl 2.80-2.85
Pu 0.6667 0.5031 0.1635  6 Cl 2.80-2.85
Sc 0.0000 0.5000 0.5000  6 Cl 2.58-2.61
Cl 0.6866 0.7499 0.8769  3 Pu 2.80-2.81
Cl 0.3134 0.2501 0.1231  3 Pu 2.80-2.81
Cl 0.0153 0.7318 0.2376  1 Sc 2.58, 2 Pu 2.83
Cl 0.3727 0.7158 0.5388  2 Sc 2.61, 1 Pu 2.85
Cl 0.9847 0.2682 0.7624  1 Sc 2.58, 2 Pu 2.83
Cl 0.6273 0.2842 0.4612  2 Sc 2.61, 1 Pu 2.85

---

Entry 11:
Entry from the Alexandria database: an optimized crystal structure of Pa2VPd9 (PBE).

Uncorrected energy = -6.80 eV per atom
Energy of formation = -0.5616 eV/atom

abc: 4.1142 4.1142 12.0714
angles: 90.00 90.00 90.00
Last column: nearest neighbours and their distance in Å.
Element x y z (fractional)
Pa 0.0000 0.0000 0.3217  12 Pd 2.84-2.98
Pa 0.0000 0.0000 0.6783  12 Pd 2.84-2.98
V 0.0000 0.0000 0.0000  12 Pd 2.82-2.91
Pd 0.5000 0.5000 0.0000  8 Pd 2.82, 4 V 2.91
Pd 0.5000 0.5000 0.3310  8 Pd 2.90-2.91, 4 Pa 2.91
Pd 0.5000 0.5000 0.6690  8 Pd 2.90-2.91, 4 Pa 2.91
Pd 0.5000 0.0000 0.1600  8 Pd 2.82-2.91, 2 V 2.82, 2 Pa 2.84
Pd 0.5000 0.0000 0.5000  8 Pd 2.90-2.91, 4 Pa 2.98
Pd 0.5000 0.0000 0.8400  8 Pd 2.82-2.91, 2 V 2.82, 2 Pa 2.84
Pd 0.0000 0.5000 0.1600  8 Pd 2.82-2.91, 2 V 2.82, 2 Pa 2.84
Pd 0.0000 0.5000 0.5000  8 Pd 2.90-2.91, 4 Pa 2.98
Pd 0.0000 0.5000 0.8400  8 Pd 2.82-2.91, 2 V 2.82, 2 Pa 2.84

---

Entry 12:
Entry from the Alexandria database: an optimized crystal structure of NaGaIBr (PBE).

Uncorrected energy = -2.79 eV per atom
Distance to the lowest polymorph of the same formula = 0.000 eV/atom
Formation energy without anion corrections = -899 meV per atom

abc: 4.5137 4.5153 6.4682
angles: 90.23 90.00 90.00
Last column: nearest neighbours and their distance in Å.
Element x y z (fractional)
Na 0.5000 0.3912 0.0932  4 I 3.19, 2 Br 3.23-3.24
Ga 0.0000 0.8919 0.5922  4 Br 3.19, 2 I 3.23-3.24
I 0.0000 0.8915 0.0918  4 Na 3.19, 2 Ga 3.23-3.24
Br 0.5000 0.3915 0.5925  4 Ga 3.19, 2 Na 3.23-3.24

---

Entry 13:
Entry from the Alexandria database: an optimized crystal structure of Cs2TlCd6Au (PBE).

Uncorrected energy = -1.29 eV per atom
Energy of formation = -0.0062 eV/atom

abc: 8.1442 8.1449 8.1075
angles: 59.73 59.73 89.91
Last column: nearest neighbours and their distance in Å.
Element x y z (fractional)
Cs 0.7502 0.2501 0.4998  12 Cd 4.05-4.08
Cs 0.2498 0.7499 0.5002  12 Cd 4.05-4.08
Tl 0.0000 0.0000 0.0000  6 Cd 2.96-3.01
Cd 0.2595 0.2595 0.4800  1 Au 2.73, 1 Tl 2.96
Cd 0.7388 0.7391 0.0003  1 Au 2.76, 1 Tl 3.01
Cd 0.2609 0.7395 0.0000  1 Au 2.75, 1 Tl 3.00
Cd 0.7391 0.2605 0.0000  1 Au 2.75, 1 Tl 3.00
Cd 0.2612 0.2609 0.9997  1 Au 2.76, 1 Tl 3.01
Cd 0.7405 0.7405 0.5200  1 Au 2.73, 1 Tl 2.96
Au 0.5000 0.5000 0.0000  6 Cd 2.73-2.76

---

Entry 14:
Entry from the Alexandria database: an optimized crystal structure of Sc6Sb3As2Se (PBE).

Uncorrected energy = -6.46 eV per atom
Formation energy without anion corrections = -1202 meV per atom

abc: 4.0035 8.0804 9.0044
angles: 103.60 102.84 90.00
Last column: nearest neighbours and their distance in Å.
Element x y z (fractional)
Sc 0.3348 0.9028 0.6697  2 As 2.76, 1 Se 2.82, 3 Sb 2.90-2.93
Sc 0.6716 0.5711 0.3432  3 As 2.76-2.77, 3 Sb 2.93-2.94
Sc 0.6652 0.0972 0.3303  2 As 2.76, 1 Se 2.82, 3 Sb 2.90-2.93
Sc 0.0059 0.2455 0.0118  1 As 2.74, 2 Se 2.80, 3 Sb 2.89-2.91
Sc 0.9941 0.7545 0.9882  1 As 2.74, 2 Se 2.80, 3 Sb 2.89-2.91
Sc 0.3284 0.4289 0.6568  3 As 2.76-2.77, 3 Sb 2.93-2.94
Sb 0.5000 0.5000 0.0000  6 Sc 2.89-2.93
Sb 0.8350 0.1670 0.6700  6 Sc 2.90-2.94
Sb 0.1650 0.8330 0.3300  6 Sc 2.90-2.94
As 0.8333 0.6676 0.6666  6 Sc 2.74-2.77
As 0.1667 0.3324 0.3334  6 Sc 2.74-2.77
Se 0.5000 0.0000 0.0000  6 Sc 2.80-2.82

---

Entry 15:
Entry from the Alexandria database: an optimized crystal structure of Li2YNpSe4 (PBE).

Uncorrected energy = -6.08 eV per atom
Formation energy without anion corrections = -1436 meV per atom

abc: 4.0922 7.1023 6.9158
angles: 110.16 90.00 90.00
Last column: nearest neighbours and their distance in Å.
Element x y z (fractional)
Li 0.5000 0.0000 0.5000  6 Se 2.85-2.87
Li 0.0000 0.5000 0.5000  6 Se 2.84
Y 0.5000 0.5000 0.0000  6 Se 2.88
Np 0.0000 0.0000 0.0000  6 Se 2.89-2.91
Se 0.5000 0.2539 0.2549  3 Li 2.84-2.87, 1 Y 2.88, 2 Np 2.89
Se 0.5000 0.7461 0.7451  3 Li 2.84-2.87, 1 Y 2.88, 2 Np 2.89
Se 0.0000 0.2509 0.7445  3 Li 2.84-2.85, 2 Y 2.88, 1 Np 2.91
Se 0.0000 0.7491 0.2555  3 Li 2.84-2.85, 2 Y 2.88, 1 Np 2.91

---

Entry 16:
Entry from the Alexandria database: an optimized crystal structure of PmCu2AgGe2 (PBE).

Uncorrected energy = -4.50 eV per atom
Energy of formation = -0.3314 eV/atom

abc: 4.2401 4.2401 6.9008
angles: 90.00 90.00 120.00
Last column: nearest neighbours and their distance in Å.
Element x y z (fractional)
Pm 0.0000 0.0000 0.0000  6 Ge 3.07, 6 Cu 3.30
Cu 0.3333 0.6667 0.6802  3 Ge 2.47, 3 Ag 2.75
Cu 0.6667 0.3333 0.3198  3 Ge 2.47, 3 Ag 2.75
Ag 0.0000 0.0000 0.5000  6 Cu 2.75, 6 Ge 2.92
Ge 0.3333 0.6667 0.2694  3 Cu 2.47
Ge 0.6667 0.3333 0.7306  3 Cu 2.47

---

Entry 17:
Entry from the Alexandria database: an optimized crystal structure of Y2MgPa (PBE).

Uncorrected energy = -5.70 eV per atom
Distance to the lowest polymorph of the same formula = 0.245 eV/atom
Energy of formation = 0.3051 eV/atom

abc: 3.2595 3.2595 12.3327
angles: 82.41 82.41 60.00
Last column: nearest neighbours and their distance in Å.
Element x y z (fractional)
Y 0.0886 0.0886 0.7341  1 Pa 3.24, 6 Y 3.26, 3 Mg 3.42
Y 0.9114 0.9114 0.2659  1 Pa 3.24, 6 Y 3.26, 3 Mg 3.42
Mg 0.5000 0.5000 0.5000  6 Mg 3.26, 6 Y 3.42
Pa 0.0000 0.0000 0.0000  2 Y 3.24, 6 Pa 3.26

---

Entry 18:
Entry from the Alexandria database: an optimized crystal structure of CaAg2O4 (PBE).

Uncorrected energy = -4.73 eV per atom
Distance to the lowest polymorph of the same formula = 0.147 eV/atom
Formation energy without anion corrections = -792 meV per atom

abc: 5.6175 5.6175 10.0190
angles: 90.00 90.00 145.53
Last column: nearest neighbours and their distance in Å.
Element x y z (fractional)
Ca 0.6086 0.3914 0.2500  6 O 2.32-2.47
Ca 0.3914 0.6086 0.7500  6 O 2.32-2.47
Ag 0.1322 0.8678 0.5699  2 O 2.05-2.06
Ag 0.8678 0.1322 0.4301  2 O 2.05-2.06
Ag 0.1322 0.8678 0.9301  2 O 2.05-2.06
Ag 0.8678 0.1322 0.0699  2 O 2.05-2.06
O 0.7798 0.2202 0.8870  1 Ag 2.06
O 0.2202 0.7798 0.1130  1 Ag 2.06
O 0.2202 0.7798 0.3870  1 Ag 2.06
O 0.7798 0.2202 0.6130  1 Ag 2.06
O 0.0417 0.9583 0.7500  2 Ag 2.05
O 0.9583 0.0417 0.2500  2 Ag 2.05
O 0.5000 0.5000 0.5000  4 Ag 2.30
O 0.5000 0.5000 0.0000  4 Ag 2.30

---

Entry 19:
Entry from the Alexandria database: an optimized crystal structure of Y2Zn4Cu3 (PBE).

Uncorrected energy = -3.63 eV per atom
Energy of formation = -0.2610 eV/atom

abc: 5.1406 5.1927 7.1160
angles: 79.70 68.83 60.33
Last column: nearest neighbours and their distance in Å.
Element x y z (fractional)
Y 0.6310 0.0000 0.7380  8 Zn 3.01-3.12, 6 Cu 3.10-3.12
Y 0.3690 0.0000 0.2620  8 Zn 3.01-3.12, 6 Cu 3.10-3.12
Zn 0.0030 0.6679 0.3262  3 Cu 2.63, 1 Zn 2.76
Zn 0.6709 0.3321 0.3262  3 Cu 2.63, 1 Zn 2.76
Zn 0.9970 0.3321 0.6738  3 Cu 2.63, 1 Zn 2.76
Zn 0.3291 0.6679 0.6738  3 Cu 2.63, 1 Zn 2.76
Cu 0.0000 0.5000 0.0000  4 Cu 2.57-2.60, 4 Zn 2.63
Cu 0.0000 0.0000 0.0000  4 Cu 2.60, 4 Zn 2.63
Cu 0.5000 0.5000 0.0000  4 Cu 2.57-2.60, 4 Zn 2.63

---

Entry 20:
Entry from the Alexandria database: an optimized crystal structure of SnN (PBE).

Uncorrected energy = -5.53 eV per atom
Formation energy without anion corrections = 637 meV per atom

abc: 6.4014 6.4014 6.4014
angles: 90.00 90.00 90.00
Last column: nearest neighbours and their distance in Å.
Element x y z (fractional)
Sn 0.2500 0.5000 0.0000  4 N 2.26
Sn 0.7500 0.5000 0.0000  4 N 2.26
Sn 0.5000 0.0000 0.2500  4 N 2.26
Sn 0.5000 0.0000 0.7500  4 N 2.26
Sn 0.0000 0.2500 0.5000  4 N 2.26
Sn 0.0000 0.7500 0.5000  4 N 2.26
N 0.2500 0.0000 0.5000  4 Sn 2.26
N 0.7500 0.0000 0.5000  4 Sn 2.26
N 0.0000 0.5000 0.2500  4 Sn 2.26
N 0.0000 0.5000 0.7500  4 Sn 2.26
N 0.5000 0.2500 0.0000  4 Sn 2.26
N 0.5000 0.7500 0.0000  4 Sn 2.26

---

| no. | M_tot (μB/f.u.) | density of states at the Fermi level (states/eV/cell) |
| --- | --- | --- |
| 1 | 0.0 | 2.19 |
| 2 | 0.0 | 2.78 |
| 3 | 0.0 | 0.00 |
| 4 | 0.0 | 9.48 |
| 5 | 0.0 | 4.14 |
| 6 | 1.4 | 7.46 |
| 7 | 0.0 | 4.18 |
| 8 | 0.0 | 3.38 |
| 9 | 0.0 | 7.29 |
| 10 | 13.0 | 18.77 |
| 11 | 3.2 | 12.44 |
| 12 | 0.0 | 0.00 |
| 13 | 0.0 | 4.09 |
| 14 | 0.0 | 2.38 |
| 15 | 4.0 | 8.77 |
| 16 | 0.0 | 3.32 |
| 17 | 0.0 | 7.03 |
| 18 | 0.0 | 4.43 |
| 19 | 0.0 | 3.78 |
| 20 | 0.0 | 9.02 |